Entry 1:
Density functional theory data (PBE) for an optimized crystal structure of HgPt2S.

Results
**Relative energy among the computed polymorphs**: 0.4325 eV/atom
**Formation energy without anion corrections**: 447 meV/atom

Lattice parameters (Å, degrees): 6.4967 6.4967 6.4967 90.00 90.00 90.00
Space group Fm-3m (No. 225)
Unique sites:
Hg  0.0000  0.0000  0.0000 x4
Pt  0.2500  0.2500  0.2500 x8
S  0.0000  0.0000  0.5000 x4



Entry 2:
Density functional theory data (PBE) for an optimized crystal structure of PuAu3.

Lattice parameters (Å, degrees): 4.0857 4.0857 11.5218 90.00 90.00 90.00
Space group I4/mmm (No. 139)
Unique sites:
Pu  0.0000  0.0000  0.0000 x2
Au  0.0000  0.0000  0.2598 x4
Au  0.0000  0.0000  0.5000 x2



Entry 3:
Density functional theory data (PBE) for an optimized crystal structure of Zn2ReP.

Lattice parameters (Å, degrees): 2.6593 2.6593 8.4857 90.00 90.00 90.00
Space group P4/mmm (No. 123)
Unique sites:
Zn  0.0000  0.0000  0.2425 x2
Re  0.5000  0.5000  0.0000 x1
P  0.5000  0.5000  0.5000 x1



Entry 4:
Density functional theory data (PBE) for an optimized crystal structure of PuGa3CuAg.

Lattice parameters (Å, degrees): 5.8945 12.7765 6.2058 90.00 90.00 90.00
Space group Cmcm (No. 63)
Unique sites:
Pu  0.0000  0.2009  0.2500 x4
Ga  0.0000  0.3685  0.7500 x4
Ga  0.2169  0.0000  0.0000 x8
Cu  0.0000  0.4203  0.2500 x4
Ag  0.0000  0.1589  0.7500 x4



Entry 5:
Density functional theory data (PBE) for an optimized crystal structure of Sm15Dy4Y.

Lattice parameters (Å, degrees): 5.1079 5.1079 25.4780 90.00 90.00 90.00
Space group P4/mmm (No. 123)
Unique sites:
Sm  0.0000  0.0000  0.0000 x1
Sm  0.0000  0.0000  0.2002 x2
Sm  0.0000  0.0000  0.4001 x2
Sm  0.0000  0.5000  0.1004 x4
Sm  0.0000  0.5000  0.3001 x4
Sm  0.0000  0.5000  0.5000 x2
Dy  0.5000  0.5000  0.2001 x2
Dy  0.5000  0.5000  0.4000 x2
Y  0.5000  0.5000  0.0000 x1



Entry 6:
Density functional theory data (PBE) for an optimized crystal structure of Dy2PaSe4.

Results
**Formation energy without anion corrections**: -1591 meV/atom

Lattice parameters (Å, degrees): 3.9761 13.5323 13.6212 90.00 90.00 90.00
Space group Cmcm (No. 63)
Unique sites:
Dy  0.0000  0.1347  0.0667 x8
Pa  0.0000  0.3767  0.2500 x4
Se  0.0000  0.0340  0.2500 x4
Se  0.0000  0.2256  0.6256 x8
Se  0.0000  0.5000  0.0000 x4



Going through the records in order, we get E_tot values of -3.681; -6.083; -4.674; -5.065; -4.768; -6.253 eV/atom.